DFT (PBE-GGA) results for a geometry-optimized RbNaTcP2 structure.

Its symmetry is P4/mmm (123).

Unit cell a=5.151 b=5.151 c=4.973 alpha=90.00 beta=90.00 gamma=90.00
Atoms (fractional coordinates):
Rb1 0.000 0.000 0.000
Na1 0.000 0.000 0.500
Tc1 0.500 0.500 0.000
P1 0.000 0.500 0.500
P2 0.500 0.000 0.500

DFT (PBE-GGA) results for a geometry-optimized RbNa2Zn2P2 structure.

Its symmetry is R-3m (166).

Unit cell a=10.797 b=10.797 c=10.797 alpha=22.57 beta=22.57 gamma=22.57
Atoms (fractional coordinates):
Rb1 0.000 0.000 0.000
Na1 0.141 0.141 0.141
Na2 0.859 0.859 0.859
Zn1 0.423 0.423 0.423
Zn2 0.577 0.577 0.577
P1 0.248 0.248 0.248
P2 0.752 0.752 0.752

DFT (PBE-GGA) results for a geometry-optimized NaRe2P structure.

Its symmetry is I-42d (122).

Unit cell a=9.442 b=9.442 c=9.442 alpha=155.48 beta=155.48 gamma=34.95
Atoms (fractional coordinates):
Na1 0.000 0.000 0.000
Na2 0.750 0.250 0.500
Re1 0.214 0.625 0.089
Re2 0.375 0.464 0.589
Re3 0.536 0.125 0.911
Re4 0.875 0.786 0.411
P1 0.250 0.750 0.500
P2 0.500 0.500 0.000

DFT (PBE-GGA) results for a geometry-optimized NaReP2 structure.

As for the energy above the most stable polymorph in this dataset: 0.144 eV per formula unit. Its symmetry is R3m (160).

Unit cell a=8.007 b=8.007 c=8.007 alpha=23.04 beta=23.04 gamma=23.04
Atoms (fractional coordinates):
Na1 0.000 0.000 0.000
Re1 0.166 0.166 0.166
P1 0.567 0.567 0.567
P2 0.764 0.764 0.764

DFT (PBE-GGA) results for a geometry-optimized NaReP2 structure.

As for the energy above the most stable polymorph in this dataset: 1.910 eV per formula unit. Its symmetry is Fm-3m (225).

Unit cell a=4.324 b=4.324 c=4.324 alpha=60.00 beta=60.00 gamma=60.00
Atoms (fractional coordinates):
Na1 0.000 0.000 0.000
Re1 0.500 0.500 0.500
P1 0.250 0.250 0.250
P2 0.750 0.750 0.750

DFT (PBE-GGA) results for a geometry-optimized NaReP2 structure.

As for the energy above the most stable polymorph in this dataset: 0.151 eV per formula unit. Its symmetry is R-3m (166).

Unit cell a=7.967 b=7.967 c=7.967 alpha=23.23 beta=23.23 gamma=23.23
Atoms (fractional coordinates):
Na1 0.000 0.000 0.000
Re1 0.500 0.500 0.500
P1 0.235 0.235 0.235
P2 0.765 0.765 0.765

D(E_F)
In order: 3.7; 1.6; 2.7; 0.4; 2.8; 0.4
Unit: states/eV/f.u.
E_tot
In order: -0.118; -0.098; -0.261; -0.234; -0.218; -0.234
Unit: Ha/atom